VASP calculation (PBE-GGA) on a relaxed Li3Tb3UTe8 crystal.

abc: 8.7216 8.7216 21.2093
angles: 90.00 90.00 120.00
Space group R-3m (No. 166, hexagonal axes)
Inequivalent atoms, fractional coordinates:
Li 0.0000 0.5000 0.0000 x9
Tb 0.0000 0.5000 0.5000 x9
U 0.0000 0.0000 0.5000 x3
Te 0.0000 0.0000 0.2522 x6
Te 0.0018 0.5009 0.2508 x18

Properties
The formation energy without anion corrections comes out at -1.15 eV per atom. The calculation puts the raw total energy at -4.88 eV/atom.